Compound: CaCdTc2
Source: Alexandria via LeMat-Bulk
Functional: GGA-PBE
Structure: relaxed

Calculated values
As for the crystal system: monoclinic. For the formation energy, the calculation gives 0.330 eV per atom. As for the electronic total energy: -5.582 eV/atom. The value obtained for the total moment is 0.0 Bohr magnetons per cell.

Lattice parameters (Å, degrees): 2.9993 4.2242 6.3962 90.00 102.00 90.00
Element x y z (fractional)
1 Ca 0.0000 0.0000 0.0000
2 Cd 0.6354 0.5000 0.3036
3 Tc 0.2250 0.0000 0.5475
4 Tc 0.4300 0.5000 0.7205